(1)
Computed, not measured: crystalline Pr3Cd2Hg4 at its relaxed geometry at the PBE level of DFT.

Its formation energy from the elements is -0.4199 eV per atom. Its electronic total energy is -2.351 eV/atom.

It has space group C2/m (No. 12), with a = 11.2823 Å, b = 5.0736 Å, c = 9.4316 Å, α = 90.00°, β = 119.00° and γ = 90.00°. The asymmetric unit holds Pr at (0.0000, 0.0000, 0.0000), Pr at (0.1636, 0.5000, 0.6698), Cd at (0.1135, 0.5000, 0.2818), Hg at (0.0653, 0.0000, 0.3955) and Hg at (0.2136, 0.5000, 0.0507).

=====

(2)
Computed, not measured: crystalline Sr2YSc at its relaxed geometry at the PBE level of DFT.

Its formation energy from the elements is 0.3369 eV per atom. Its electronic total energy is -3.703 eV/atom.

It has space group C2/m (No. 12), with a = 12.7585 Å, b = 3.7754 Å, c = 6.4361 Å, α = 90.00°, β = 101.18° and γ = 90.00°. The asymmetric unit holds Sr at (0.2437, 0.0000, 0.2444), Y at (0.0000, 0.0000, 0.5000) and Sc at (0.0000, 0.5000, 0.0000).

=====

(3)
Computed, not measured: crystalline Cs3TaTe at its relaxed geometry at the PBE level of DFT.

Its electronic total energy is -2.712 eV/atom. The uncorrected formation energy comes out at 799.4 meV per atom.

It has space group Pm-3m (No. 221), with a = 7.3117 Å, b = 7.3117 Å, c = 7.3117 Å, α = 90.00°, β = 90.00° and γ = 90.00°. The asymmetric unit holds Cs at (0.0000, 0.0000, 0.5000), Ta at (0.5000, 0.5000, 0.5000) and Te at (0.0000, 0.0000, 0.0000).

=====

(4)
Computed, not measured: crystalline YMn2Cr at its relaxed geometry at the PBE level of DFT.

Its formation energy from the elements is 0.4378 eV per atom. Its electronic total energy is -8.169 eV/atom.

It has space group Immm (No. 71), with a = 3.2199 Å, b = 4.7962 Å, c = 9.0257 Å, α = 90.00°, β = 90.00° and γ = 90.00°. The asymmetric unit holds Y at (0.0000, 0.0000, 0.0000), Mn at (0.0000, 0.5000, 0.2148) and Cr at (0.0000, 0.0000, 0.5000).